First-principles (PBE) data for a geometry-optimized Rb12Sb5I3 structure, as listed in Alexandria via LeMat-Bulk.

Cell: 18.8587 18.8587 18.8587 Å, 109.47 109.47 109.47°
Last column: nearest neighbours and their distance in Å.
Positions (direct):
Rb 0.0454 0.2183 0.1188  2 Sb 3.49-3.59
Rb 0.0454 0.3271 0.9266  2 Sb 3.49-3.59
Rb 0.0734 0.6188 0.4005  2 Sb 3.49-3.59
Rb 0.0734 0.9546 0.6729  2 Sb 3.49-3.59
Rb 0.0995 0.7183 0.6729  2 Sb 3.49-3.59
Rb 0.0995 0.8812 0.4266  2 Sb 3.49-3.59
Rb 0.1188 0.0454 0.2183  2 Sb 3.49-3.59
Rb 0.1188 0.5734 0.9005  2 Sb 3.49-3.59
Rb 0.1729 0.2183 0.5995  2 Sb 3.49-3.59
Rb 0.1729 0.4546 0.5734  2 Sb 3.49-3.59
Rb 0.2183 0.1188 0.0454  2 Sb 3.49-3.59
Rb 0.2183 0.5995 0.1729  2 Sb 3.49-3.59
Rb 0.2817 0.3271 0.9005  2 Sb 3.49-3.59
Rb 0.2817 0.4546 0.3812  2 Sb 3.49-3.59
Rb 0.3271 0.9005 0.2817  2 Sb 3.49-3.59
Rb 0.3271 0.9266 0.0454  2 Sb 3.49-3.59
Rb 0.3812 0.2817 0.4546  2 Sb 3.49-3.59
Rb 0.3812 0.5995 0.9266  2 Sb 3.49-3.59
Rb 0.4005 0.0734 0.6188  2 Sb 3.49-3.59
Rb 0.4005 0.8271 0.7817  2 Sb 3.49-3.59
Rb 0.4266 0.0995 0.8812  2 Sb 3.49-3.59
Rb 0.4266 0.8271 0.5454  2 Sb 3.49-3.59
Rb 0.4546 0.3812 0.2817  2 Sb 3.49-3.59
Rb 0.4546 0.5734 0.1729  2 Sb 3.49-3.59
Rb 0.5454 0.4266 0.8271  2 Sb 3.49-3.59
Rb 0.5454 0.6188 0.7183  2 Sb 3.49-3.59
Rb 0.5734 0.1729 0.4546  2 Sb 3.49-3.59
Rb 0.5734 0.9005 0.1188  2 Sb 3.49-3.59
Rb 0.5995 0.1729 0.2183  2 Sb 3.49-3.59
Rb 0.5995 0.9266 0.3812  2 Sb 3.49-3.59
Rb 0.6188 0.4005 0.0734  2 Sb 3.49-3.59
Rb 0.6188 0.7183 0.5454  2 Sb 3.49-3.59
Rb 0.6729 0.0734 0.9546  2 Sb 3.49-3.59
Rb 0.6729 0.0995 0.7183  2 Sb 3.49-3.59
Rb 0.7183 0.5454 0.6188  2 Sb 3.49-3.59
Rb 0.7183 0.6729 0.0995  2 Sb 3.49-3.59
Rb 0.7817 0.4005 0.8271  2 Sb 3.49-3.59
Rb 0.7817 0.8812 0.9546  2 Sb 3.49-3.59
Rb 0.8271 0.5454 0.4266  2 Sb 3.49-3.59
Rb 0.8271 0.7817 0.4005  2 Sb 3.49-3.59
Rb 0.8812 0.4266 0.0995  2 Sb 3.49-3.59
Rb 0.8812 0.9546 0.7817  2 Sb 3.49-3.59
Rb 0.9005 0.1188 0.5734  2 Sb 3.49-3.59
Rb 0.9005 0.2817 0.3271  2 Sb 3.49-3.59
Rb 0.9266 0.0454 0.3271  2 Sb 3.49-3.59
Rb 0.9266 0.3812 0.5995  2 Sb 3.49-3.59
Rb 0.9546 0.6729 0.0734  2 Sb 3.49-3.59
Rb 0.9546 0.7817 0.8812  2 Sb 3.49-3.59
Sb 0.0000 0.0000 0.0000  6 Rb 3.59
Sb 0.0000 0.0000 0.5000  6 Rb 3.59
Sb 0.0000 0.5000 0.0000  6 Rb 3.59
Sb 0.0000 0.5000 0.5000  6 Rb 3.59
Sb 0.1250 0.7500 0.8750  4 Rb 3.49
Sb 0.1250 0.8750 0.2500  4 Rb 3.49
Sb 0.2500 0.1250 0.8750  4 Rb 3.49
Sb 0.2500 0.6250 0.3750  4 Rb 3.49
Sb 0.3750 0.2500 0.6250  4 Rb 3.49
Sb 0.3750 0.6250 0.7500  4 Rb 3.49
Sb 0.5000 0.0000 0.0000  6 Rb 3.59
Sb 0.5000 0.0000 0.5000  6 Rb 3.59
Sb 0.5000 0.5000 0.0000  6 Rb 3.59
Sb 0.5000 0.5000 0.5000  6 Rb 3.59
Sb 0.6250 0.3750 0.2500  4 Rb 3.49
Sb 0.6250 0.7500 0.3750  4 Rb 3.49
Sb 0.7500 0.3750 0.6250  4 Rb 3.49
Sb 0.7500 0.8750 0.1250  4 Rb 3.49
Sb 0.8750 0.1250 0.7500  4 Rb 3.49
Sb 0.8750 0.2500 0.1250  4 Rb 3.49
I 0.1250 0.2500 0.3750  8 Rb 3.94-4.31
I 0.1250 0.3750 0.7500  8 Rb 3.94-4.31
I 0.2500 0.3750 0.1250  8 Rb 3.94-4.31
I 0.2500 0.8750 0.6250  8 Rb 3.94-4.31
I 0.3750 0.1250 0.2500  8 Rb 3.94-4.31
I 0.3750 0.7500 0.1250  8 Rb 3.94-4.31
I 0.6250 0.2500 0.8750  8 Rb 3.94-4.31
I 0.6250 0.8750 0.7500  8 Rb 3.94-4.31
I 0.7500 0.1250 0.3750  8 Rb 3.94-4.31
I 0.7500 0.6250 0.8750  8 Rb 3.94-4.31
I 0.8750 0.6250 0.2500  8 Rb 3.94-4.31
I 0.8750 0.7500 0.6250  8 Rb 3.94-4.31

* raw formation energy: -403 meV/atom
* calculated total energy: -179.76 eV per cell